1.
Tb3SmEr2Bi6 | PBE | relaxed

Summary:
The density of states at the Fermi level comes out at 0.167 states/eV per atom. The calculation puts the theoretical density at 9.59 Mg/m³. The calculation puts the total energy at -5.12 eV/atom. The total magnetization comes out at 0.0 μB/cell. The formation enthalpy at 0 K is -0.863 eV/atom.

Cell lengths 10.0335, 10.0335, 8.9771 Å; angles 102.87, 102.87, 25.85 degrees
Element x y z (fractional)
Tb (0.0000, 0.0000, 0.0000)
Tb (0.3345, 0.3345, 0.6675)
Tb (0.6655, 0.6655, 0.3325)
Sm (0.0000, 0.0000, 0.5000)
Er (0.3329, 0.3329, 0.1666)
Er (0.6671, 0.6671, 0.8334)
Bi (0.1673, 0.1673, 0.0812)
Bi (0.1682, 0.1682, 0.5862)
Bi (0.4987, 0.4987, 0.2463)
Bi (0.5013, 0.5013, 0.7537)
Bi (0.8318, 0.8318, 0.4138)
Bi (0.8327, 0.8327, 0.9188)

***

2.
PmEuYPb | PBE | relaxed

Summary:
The density of states at the Fermi level comes out at 1.471 states/eV per atom. The calculation puts the theoretical density at 7.99 Mg/m³. The calculation puts the total energy at -6.45 eV/atom. The total magnetization comes out at 8.2 μB/cell. The formation enthalpy at 0 K is -0.152 eV/atom.

Cell lengths 5.5862, 5.5862, 5.5862 Å; angles 60.00, 60.00, 60.00 degrees
Element x y z (fractional)
Pm (0.0000, 0.0000, 0.0000)
Eu (0.7500, 0.7500, 0.7500)
Y (0.5000, 0.5000, 0.5000)
Pb (0.2500, 0.2500, 0.2500)

***

3.
Tm5ThAg4 | PBE | relaxed

Summary:
The density of states at the Fermi level comes out at 0.816 states/eV per atom. The calculation puts the theoretical density at 10.16 Mg/m³. The calculation puts the total energy at -4.38 eV/atom. The total magnetization comes out at 0.0 μB/cell. The formation enthalpy at 0 K is -0.266 eV/atom.

Cell lengths 3.5727, 3.5727, 19.3198 Å; angles 90.00, 90.00, 90.00 degrees
Element x y z (fractional)
Tm (0.0000, 0.0000, 0.0000)
Tm (0.0000, 0.0000, 0.1883)
Tm (0.0000, 0.0000, 0.3749)
Tm (0.0000, 0.0000, 0.6251)
Tm (0.0000, 0.0000, 0.8117)
Th (0.5000, 0.5000, 0.5000)
Ag (0.5000, 0.5000, 0.0932)
Ag (0.5000, 0.5000, 0.2813)
Ag (0.5000, 0.5000, 0.7187)
Ag (0.5000, 0.5000, 0.9068)

***

4.
KBr2 | PBE | relaxed

Summary:
The density of states at the Fermi level comes out at 0.685 states/eV per atom. The calculation puts the theoretical density at 2.93 Mg/m³. The energy relative to the lowest polymorph listed for this composition comes out at 7 kJ/mol of formula units. The calculation puts the total energy at -2.62 eV/atom. The total magnetization comes out at 0.0 μB/cell.

Cell lengths 5.2700, 5.2700, 5.8459 Å; angles 123.51, 123.51, 72.36 degrees
Element x y z (fractional)
K (0.0000, 0.0000, 0.0000)
Br (0.5002, 0.5002, 0.2501)
Br (0.4998, 0.4998, 0.7499)

***

5.
NbP2Rh | PBE | relaxed

Summary:
The density of states at the Fermi level comes out at 0.686 states/eV per atom. The calculation puts the theoretical density at 5.40 Mg/m³. The calculation puts the total energy at -7.33 eV/atom. The total magnetization comes out at 0.0 μB/cell. The formation enthalpy at 0 K is -0.267 eV/atom.

Cell lengths 6.4633, 6.4633, 6.4633 Å; angles 129.07, 129.07, 74.90 degrees
Element x y z (fractional)
Nb (0.0000, 0.0000, 0.0000)
Nb (0.7500, 0.2500, 0.5000)
P (0.1474, 0.6250, 0.0224)
P (0.3750, 0.3974, 0.5224)
P (0.6026, 0.1250, 0.9776)
P (0.8750, 0.8526, 0.4776)
Rh (0.2500, 0.7500, 0.5000)
Rh (0.5000, 0.5000, 0.0000)

***

6.
Pr2Mg3Cd3 | PBE | relaxed

Summary:
The density of states at the Fermi level comes out at 0.327 states/eV per atom. The calculation puts the theoretical density at 5.70 Mg/m³. The calculation puts the total energy at -2.43 eV/atom. The total magnetization comes out at 0.0 μB/cell. The formation enthalpy at 0 K is -0.290 eV/atom.

Cell lengths 9.0548, 9.0548, 9.0548 Å; angles 33.50, 33.50, 33.50 degrees
Element x y z (fractional)
Pr (0.0000, 0.0000, 0.0000)
Pr (0.4964, 0.4964, 0.4964)
Mg (0.2475, 0.2475, 0.2475)
Mg (0.6225, 0.6225, 0.6225)
Mg (0.7485, 0.7485, 0.7485)
Cd (0.1239, 0.1239, 0.1239)
Cd (0.3705, 0.3705, 0.3705)
Cd (0.8758, 0.8758, 0.8758)